# GGA+U NiGeF2, optimized geometry
data_NiGeF2
_cell_length_a 2.8673
_cell_length_b 2.8673
_cell_length_c 22.5439
_cell_angle_alpha 90.00
_cell_angle_beta 90.00
_cell_angle_gamma 120.00
_space_group_name_H-M_alt 'R -3 m'
_space_group_IT_number 166
_space_group_name_Hall '-R 3 2"'
loop_
_atom_site_label
_atom_site_type_symbol
_atom_site_fract_x
_atom_site_fract_y
_atom_site_fract_z
_atom_site_occupancy
Ni1 Ni 0.0000 0.0000 0.0000 1
Ge1 Ge 0.0000 0.0000 0.5000 1
F1 F 0.0000 0.0000 0.0844 1
# Distance to the lowest polymorph of the same formula (kJ/mol of formula units): 158.9
# Crystal system: trigonal
# Fermi-level density of states (states/eV/cell): 3.7
# Final energy (eV/atom): -3.655